# 1
Below is an optimized crystal structure of Hf2Cu7Pt2Au, with properties calculated at the PBE-GGA level.

abc: 5.315 5.438 12.615
angles: 90.00 90.00 90.00
Space group Cmmm (No. 65)
One atom of each set of equivalent atoms:
1 Hf 0.000 0.000 0.171
2 Cu 0.000 0.000 0.500
3 Cu 0.000 0.282 0.000
4 Cu 0.250 0.250 0.349
5 Pt 0.000 0.500 0.201
6 Au 0.000 0.500 0.500

Summary:
The value obtained for the density of states at the Fermi level is 5.64 states/eV/f.u. For the formation energy, the calculation gives -0.25 eV per atom. The value obtained for the mass density is 12.7 g/cm³.


# 2
Below is an optimized crystal structure of Ti2NbB2, with properties calculated at the PBE-GGA level.

abc: 4.559 3.150 9.047
angles: 90.00 93.00 90.00
Space group P2_1/m (No. 11)
One atom of each set of equivalent atoms:
1 Ti 0.127 0.250 0.110
2 Ti 0.238 0.250 0.427
3 Nb 0.344 0.250 0.776
4 B 0.258 0.750 0.599
5 B 0.399 0.750 0.981

Summary:
The value obtained for the density of states at the Fermi level is 2.76 states/eV/f.u. For the formation energy, the calculation gives -0.47 eV per atom. The relative energy among the computed polymorphs is 0.091 eV per atom. The value obtained for the mass density is 5.4 g/cm³.


# 3
Below is an optimized crystal structure of Pr7Nd2Er3, with properties calculated at the PBE-GGA level.

abc: 6.543 3.599 17.785
angles: 90.00 95.73 90.00
Space group P2/m (No. 10)
One atom of each set of equivalent atoms:
1 Pr 0.000 0.000 0.000
2 Pr 0.228 0.500 0.171
3 Pr 0.258 0.500 0.494
4 Pr 0.280 0.000 0.835
5 Nd 0.059 0.500 0.670
6 Er 0.457 0.000 0.341
7 Er 0.500 0.500 0.000

Summary:
The value obtained for the density of states at the Fermi level is 17.69 states/eV/f.u. For the formation energy, the calculation gives 0.06 eV per atom. The relative energy among the computed polymorphs is 0.000 eV per atom. The value obtained for the mass density is 7.1 g/cm³.


# 4
Below is an optimized crystal structure of NdZn6Cd2, with properties calculated at the PBE-GGA level.

abc: 4.303 6.715 12.373
angles: 90.00 90.00 90.00
Space group Immm (No. 71)
One atom of each set of equivalent atoms:
1 Nd 0.000 0.000 0.000
2 Zn 0.000 0.186 0.500
3 Zn 0.000 0.297 0.310
4 Cd 0.000 0.500 0.120

Summary:
The value obtained for the density of states at the Fermi level is 2.40 states/eV/f.u. For the formation energy, the calculation gives -0.09 eV per atom. The value obtained for the mass density is 7.1 g/cm³.